Record 1
First-principles (PBEsol) data for a relaxed Mg2In crystal, as listed in Alexandria via LeMat-Bulk.

Unit cell a=3.177 b=3.177 c=14.134 alpha=96.45 beta=96.45 gamma=90.00
Atoms (fractional coordinates):
In 0.000 0.000 0.000
In 0.250 0.750 0.500
Mg 0.578 0.578 0.156
Mg 0.672 0.172 0.344
Mg 0.422 0.422 0.844
Mg 0.828 0.328 0.656

Properties
V = 23.48 Å³ per atom
E_form = -0.017 eV/atom
magnetization = 0.00 μB/f.u.

***

Record 2
First-principles (PBEsol) data for a relaxed MnBiNO2 crystal, as listed in Alexandria via LeMat-Bulk.

Unit cell a=4.146 b=4.146 c=4.222 alpha=90.00 beta=90.00 gamma=90.00
Atoms (fractional coordinates):
Mn 0.500 0.500 0.500
Bi 0.000 0.000 0.000
N 0.000 0.000 0.500
O 0.500 0.000 0.000
O 0.000 0.500 0.000

Properties
V = 14.51 Å³ per atom
ΔE_f (raw) = 36.8 kJ per mole of atoms
magnetization = 4.85 μB/f.u.

***

Record 3
First-principles (PBEsol) data for a relaxed Li2Mn3SbO8 crystal, as listed in Alexandria via LeMat-Bulk.

Unit cell a=5.754 b=6.010 c=8.815 alpha=88.11 beta=90.00 gamma=90.00
Atoms (fractional coordinates):
Mn 0.500 0.000 0.000
Mn 0.744 0.750 0.255
Mn 0.756 0.250 0.755
Mn 0.000 0.500 0.500
Mn 0.244 0.750 0.245
Mn 0.256 0.250 0.745
Li 0.505 0.241 0.363
Li 0.495 0.759 0.637
Li 0.995 0.741 0.863
Li 0.005 0.259 0.137
O 0.499 0.527 0.232
O 0.746 0.272 0.998
O 0.254 0.728 0.002
O 0.001 0.027 0.732
O 0.495 0.959 0.224
O 0.781 0.259 0.495
O 0.995 0.541 0.276
O 0.999 0.973 0.268
O 0.719 0.759 0.995
O 0.754 0.772 0.498
O 0.281 0.241 0.005
O 0.246 0.228 0.502
O 0.005 0.459 0.724
O 0.505 0.041 0.776
O 0.219 0.741 0.505
O 0.501 0.473 0.768
Sb 0.500 0.500 0.000
Sb 0.000 0.000 0.500

Properties
V = 10.88 Å³ per atom
ΔE_f (raw) = -162.0 kJ per mole of atoms
offset from the most stable computed form = 0.49 eV/f.u.
magnetization = 11.84 μB/f.u.